A plane-wave DFT calculation with GGA-PBE was carried out for a relaxed NbAl2Mo2 crystal.

abc: 6.900 6.900 3.352
angles: 90.00 90.00 90.00
Atoms (fractional coordinates):
Mo 0.173 0.673 0.500
Mo 0.673 0.827 0.500
Mo 0.327 0.173 0.500
Mo 0.827 0.327 0.500
Al 0.127 0.373 0.000
Al 0.627 0.127 0.000
Al 0.873 0.627 0.000
Al 0.373 0.873 0.000
Nb 0.500 0.500 0.000
Nb 0.000 0.000 0.000

Output
The calculation puts the total DFT energy (no corrections) at -7.978 eV/atom. The calculation puts the energy above the most stable polymorph in this dataset at 0.00 kcal/mol of atoms. The calculation puts the formation energy at -0.14 eV per atom.